No. 1
Material: MgBAs
Method: DFT, GGA-PBE
State: relaxed

a = 4.0327 Å, b = 4.4536 Å, c = 6.2573 Å
α = 110.71°, β = 106.80°, γ = 90.62°
Space group P-1 (No. 2)
Asymmetric unit:
Mg1 0.0830 0.1157 0.2630 [2 per cell]
B1 0.4958 0.8188 0.9991 [2 per cell]
As1 0.4422 0.3646 0.7271 [2 per cell]

=====

No. 2
Material: Mg2BAs2
Method: DFT, GGA-PBE
State: relaxed

a = 7.6818 Å, b = 7.6818 Å, c = 3.1383 Å
α = 90.00°, β = 90.00°, γ = 90.00°
Space group P4/mbm (No. 127)
Asymmetric unit:
Mg1 0.1414 0.3586 0.0000 [4 per cell]
B1 0.0000 0.0000 0.5000 [2 per cell]
As1 0.1629 0.6629 0.5000 [4 per cell]

=====

No. 3
Material: Mg2Ni5B2As
Method: DFT, GGA-PBE
State: relaxed

a = 8.7568 Å, b = 8.7568 Å, c = 2.9638 Å
α = 90.00°, β = 90.00°, γ = 90.00°
Space group P4/mbm (No. 127)
Asymmetric unit:
Mg1 0.1757 0.3243 0.0000 [4 per cell]
Ni1 0.0000 0.5000 0.5000 [2 per cell]
Ni2 0.0696 0.7771 0.5000 [8 per cell]
B1 0.1199 0.6199 0.0000 [4 per cell]
As1 0.0000 0.0000 0.0000 [2 per cell]

=====

No. 4
Material: MgBAs2Pb
Method: DFT, GGA-PBE
State: relaxed

a = 5.4553 Å, b = 5.4553 Å, c = 5.3493 Å
α = 90.00°, β = 90.00°, γ = 90.00°
Space group P4/mmm (No. 123)
Asymmetric unit:
Mg1 0.0000 0.0000 0.0000 [1 per cell]
B1 0.5000 0.5000 0.0000 [1 per cell]
As1 0.0000 0.5000 0.5000 [2 per cell]
Pb1 0.0000 0.0000 0.5000 [1 per cell]

=====

Number 1: ρ 3.661 g/cm3, E -26.1 eV for the cell shown. Number 2: ρ 3.753 g/cm3, E -33.3 eV for the cell shown. Number 3: ρ 6.410 g/cm3, E -106.7 eV for the cell shown. Number 4: ρ 4.090 g/cm3, E -12.6 eV for the cell shown.